Compound: Li3Pd
Source: the Alexandria database
Functional: meta-GGA SCAN
Structure: PBEsol geometry

Results
Its crystal system is cubic. Its formation enthalpy at 0 K is -0.315 eV per atom. The calculation puts the volume at 56.5 Å³/cell.

a b c (Å): 4.3069 4.3069 4.3069
angles (deg): 60.00 60.00 60.00
Element x y z (fractional)
Li  0.0000  0.0000  0.0000
Li  0.2500  0.2500  0.2500
Li  0.7500  0.7500  0.7500
Pd  0.5000  0.5000  0.5000

=====

Compound: Li3PdPt
Source: the Alexandria database
Functional: meta-GGA SCAN
Structure: PBEsol geometry

Results
Its crystal system is cubic. Its formation enthalpy at 0 K is 0.132 eV per atom. The calculation puts the volume at 91.4 Å³/cell.

a b c (Å): 4.5043 4.5043 4.5043
angles (deg): 90.00 90.00 90.00
Element x y z (fractional)
Li  0.0000  0.0000  0.5000
Li  0.0000  0.5000  0.0000
Li  0.5000  0.0000  0.0000
Pd  0.5000  0.5000  0.5000
Pt  0.0000  0.0000  0.0000

=====

Compound: LiRePdPt2
Source: the Alexandria database
Functional: meta-GGA SCAN
Structure: PBEsol geometry

Results
Its crystal system is tetragonal. Its formation enthalpy at 0 K is 0.737 eV per atom. The calculation puts the volume at 71.0 Å³/cell.

a b c (Å): 4.1841 4.1841 4.0562
angles (deg): 90.00 90.00 90.00
Element x y z (fractional)
Li  0.0000  0.0000  0.0000
Re  0.5000  0.5000  0.5000
Pd  0.0000  0.0000  0.5000
Pt  0.0000  0.5000  0.0000
Pt  0.5000  0.0000  0.0000

=====

Compound: RbLi2Pd2
Source: the Alexandria database
Functional: meta-GGA SCAN
Structure: PBEsol geometry

Results
Its crystal system is tetragonal. Its formation enthalpy at 0 K is -0.040 eV per atom. The calculation puts the volume at 104.6 Å³/cell.

a b c (Å): 5.9200 5.9200 5.9200
angles (deg): 134.31 134.31 66.61
Element x y z (fractional)
Rb  0.0000  0.0000  0.0000
Li  0.2500  0.7500  0.5000
Li  0.7500  0.2500  0.5000
Pd  0.3681  0.3681  0.0000
Pd  0.6319  0.6319  0.0000

=====

Compound: RbLi3Pd
Source: the Alexandria database
Functional: meta-GGA SCAN
Structure: PBEsol geometry

Results
Its crystal system is cubic. Its formation enthalpy at 0 K is -0.064 eV per atom. The calculation puts the volume at 129.5 Å³/cell.

a b c (Å): 5.0597 5.0597 5.0597
angles (deg): 90.00 90.00 90.00
Element x y z (fractional)
Rb  0.0000  0.0000  0.0000
Li  0.0000  0.5000  0.5000
Li  0.5000  0.0000  0.5000
Li  0.5000  0.5000  0.0000
Pd  0.5000  0.5000  0.5000

=====

Compound: RbLiPd2Ru
Source: the Alexandria database
Functional: meta-GGA SCAN
Structure: PBEsol geometry

Results
Its crystal system is tetragonal. Its formation enthalpy at 0 K is 0.614 eV per atom. The calculation puts the volume at 115.0 Å³/cell.

a b c (Å): 4.8041 4.8041 4.9827
angles (deg): 90.00 90.00 90.00
Element x y z (fractional)
Rb  0.0000  0.0000  0.0000
Li  0.5000  0.5000  0.0000
Pd  0.0000  0.5000  0.5000
Pd  0.5000  0.0000  0.5000
Ru  0.5000  0.5000  0.5000

=====

Compound: LiSiPdRh2
Source: the Alexandria database
Functional: meta-GGA SCAN
Structure: PBEsol geometry

Results
Its crystal system is tetragonal. The calculation puts the volume at 80.0 Å³/cell. The value obtained for the formation energy from raw total energies is 0.248 eV/atom.

a b c (Å): 4.3060 4.3060 4.3157
angles (deg): 90.00 90.00 90.00
Element x y z (fractional)
Li  0.0000  0.0000  0.0000
Si  0.0000  0.0000  0.5000
Pd  0.5000  0.5000  0.0000
Rh  0.0000  0.5000  0.5000
Rh  0.5000  0.0000  0.5000

=====

Compound: Li2Sb2Pd
Source: the Alexandria database
Functional: meta-GGA SCAN
Structure: PBEsol geometry

Results
Its crystal system is tetragonal. The calculation puts the volume at 207.3 Å³/cell. The value obtained for the formation energy from raw total energies is -0.523 eV/atom.

a b c (Å): 6.8325 6.8325 4.4403
angles (deg): 90.00 90.00 90.00
Element x y z (fractional)
Li  0.1609  0.3391  0.0000
Li  0.3391  0.8391  0.0000
Li  0.6609  0.1609  0.0000
Li  0.8391  0.6609  0.0000
Sb  0.1480  0.6480  0.5000
Sb  0.3520  0.1480  0.5000
Sb  0.6480  0.8520  0.5000
Sb  0.8520  0.3520  0.5000
Pd  0.0000  0.0000  0.5000
Pd  0.5000  0.5000  0.5000

=====

Compound: Li2SbPd2
Source: the Alexandria database
Functional: meta-GGA SCAN
Structure: PBEsol geometry

Results
Its crystal system is tetragonal. The calculation puts the volume at 82.4 Å³/cell. The value obtained for the formation energy from raw total energies is -0.202 eV/atom.

a b c (Å): 7.1338 7.1338 7.1338
angles (deg): 151.52 151.52 40.72
Element x y z (fractional)
Li  0.2500  0.7500  0.5000
Li  0.7500  0.2500  0.5000
Sb  0.0000  0.0000  0.0000
Pd  0.3974  0.3974  0.0000
Pd  0.6026  0.6026  0.0000

=====

Compound: LiSbPd3
Source: the Alexandria database
Functional: meta-GGA SCAN
Structure: PBEsol geometry

Results
Its crystal system is cubic. The calculation puts the volume at 117.5 Å³/cell. The value obtained for the formation energy from raw total energies is 0.165 eV/atom.

a b c (Å): 4.8977 4.8977 4.8977
angles (deg): 90.00 90.00 90.00
Element x y z (fractional)
Li  0.0000  0.0000  0.0000
Sb  0.5000  0.5000  0.5000
Pd  0.0000  0.5000  0.5000
Pd  0.5000  0.0000  0.5000
Pd  0.5000  0.5000  0.0000

=====

Compound: Li2TlSbPd
Source: the Alexandria database
Functional: meta-GGA SCAN
Structure: PBEsol geometry

Results
Its crystal system is tetragonal. The calculation puts the volume at 114.7 Å³/cell. The value obtained for the formation energy from raw total energies is 0.193 eV/atom.

a b c (Å): 4.7911 4.7911 4.9980
angles (deg): 90.00 90.00 90.00
Element x y z (fractional)
Li  0.0000  0.5000  0.0000
Li  0.5000  0.0000  0.0000
Tl  0.0000  0.0000  0.0000
Sb  0.5000  0.5000  0.5000
Pd  0.0000  0.0000  0.5000

=====

Compound: Li2PdSe2
Source: the Alexandria database
Functional: meta-GGA SCAN
Structure: PBEsol geometry

Results
Its crystal system is tetragonal. The calculation puts the volume at 173.4 Å³/cell. The value obtained for the formation energy from raw total energies is -0.812 eV/atom.

a b c (Å): 6.6889 6.6889 3.8756
angles (deg): 90.00 90.00 90.00
Element x y z (fractional)
Li  0.1492  0.3508  0.0000
Li  0.3508  0.8508  0.0000
Li  0.6492  0.1492  0.0000
Li  0.8508  0.6492  0.0000
Pd  0.0000  0.0000  0.5000
Pd  0.5000  0.5000  0.5000
Se  0.1646  0.6646  0.5000
Se  0.3354  0.1646  0.5000
Se  0.6646  0.8354  0.5000
Se  0.8354  0.3354  0.5000

=====

Compound: LiPd2Se
Source: the Alexandria database
Functional: meta-GGA SCAN
Structure: PBEsol geometry

Results
Its crystal system is tetragonal. The calculation puts the volume at 125.8 Å³/cell. The value obtained for the formation energy from raw total energies is -0.387 eV/atom.

a b c (Å): 8.9142 8.9142 8.9142
angles (deg): 155.06 155.06 35.56
Element x y z (fractional)
Li  0.0000  0.0000  0.0000
Li  0.7500  0.2500  0.5000
Pd  0.1332  0.6250  0.0082
Pd  0.3750  0.3832  0.5082
Pd  0.6168  0.1250  0.9918
Pd  0.8750  0.8668  0.4918
Se  0.2500  0.7500  0.5000
Se  0.5000  0.5000  0.0000

=====

no.,spin magnetization (μB/atom),mass density (g cm⁻³)
1,0.00,3.740
2,0.00,5.857
3,0.76,16.129
4,0.00,4.958
5,0.00,2.727
6,0.00,5.867
7,0.00,7.206
8,0.00,5.829
9,0.00,7.024
10,0.00,6.332
11,0.00,6.462
12,0.00,5.329
13,0.00,7.886